Model w:
DFT (PBE) results for a geometry-optimized SrAs2W structure.

Results
Its density is 7.88 g/cm3. For the size of the total moment, the calculation gives 0.000 μB/cell.

a = 7.374 Å, b = 7.374 Å, c = 7.374 Å
α = 30.01°, β = 30.01°, γ = 30.01°
Positions (direct):
Sr (0.000, 0.000, 0.000)
As (0.234, 0.234, 0.234)
As (0.766, 0.766, 0.766)
W (0.500, 0.500, 0.500)



Model x:
DFT (PBE) results for a geometry-optimized SrAs2W structure.

Results
Its density is 5.61 g/cm3. For the size of the total moment, the calculation gives 1.541 μB/cell.

a = 7.660 Å, b = 7.660 Å, c = 7.660 Å
α = 131.12°, β = 131.12°, γ = 71.62°
Positions (direct):
Sr (0.000, 0.000, 0.000)
Sr (0.750, 0.250, 0.500)
As (0.222, 0.625, 0.097)
As (0.375, 0.472, 0.597)
As (0.528, 0.125, 0.903)
As (0.875, 0.778, 0.403)
W (0.250, 0.750, 0.500)
W (0.500, 0.500, 0.000)



Of them, model x has the lowest stability.



Model w:
DFT (PBE) results for a geometry-optimized SrAs2W structure.

Results
Its density is 8.11 g/cm3. For the size of the total moment, the calculation gives 2.332 μB/cell.

a = 5.851 Å, b = 5.851 Å, c = 5.851 Å
α = 138.73°, β = 138.73°, γ = 59.79°
Positions (direct):
Sr (0.000, 0.000, 0.000)
As (0.500, 0.500, 0.000)
As (0.750, 0.250, 0.500)
W (0.250, 0.750, 0.500)



Model x:
DFT (PBE) results for a geometry-optimized SrAs2W structure.

Results
Its density is 8.49 g/cm3. For the size of the total moment, the calculation gives 0.000 μB/cell.

a = 4.991 Å, b = 4.991 Å, c = 3.440 Å
α = 99.25°, β = 99.25°, γ = 97.69°
Positions (direct):
Sr (0.000, 0.000, 0.000)
As (0.000, 0.500, 0.500)
As (0.500, 0.000, 0.500)
W (0.500, 0.500, 0.000)



Of them, model w has the lowest stability.



Model w:
DFT (PBE) results for a geometry-optimized SrAs2W structure.

Results
Its density is 8.40 g/cm3. For the size of the total moment, the calculation gives 1.526 μB/cell.

a = 4.901 Å, b = 4.901 Å, c = 4.901 Å
α = 60.00°, β = 60.00°, γ = 60.00°
Positions (direct):
Sr (0.000, 0.000, 0.000)
As (0.500, 0.500, 0.500)
As (0.750, 0.750, 0.750)
W (0.250, 0.250, 0.250)



Model x:
DFT (PBE) results for a geometry-optimized SrAs2W structure.

Results
Its density is 7.89 g/cm3. For the size of the total moment, the calculation gives 0.000 μB/cell.

a = 7.622 Å, b = 7.622 Å, c = 7.622 Å
α = 154.11°, β = 152.65°, γ = 38.01°
Positions (direct):
Sr (0.000, 0.000, 0.000)
As (0.375, 0.375, 0.000)
As (0.676, 0.176, 0.500)
W (0.248, 0.748, 0.500)



Model y:
DFT (PBE) results for a geometry-optimized SrAs2W structure.

Results
Its density is 8.01 g/cm3. For the size of the total moment, the calculation gives 0.000 μB/cell.

a = 9.284 Å, b = 9.284 Å, c = 9.284 Å
α = 20.67°, β = 20.67°, γ = 20.67°
Positions (direct):
Sr (0.000, 0.000, 0.000)
As (0.507, 0.507, 0.507)
As (0.761, 0.761, 0.761)
W (0.234, 0.234, 0.234)



Model z:
DFT (PBE) results for a geometry-optimized SrAs2W structure.

Results
Its density is 7.88 g/cm3. For the size of the total moment, the calculation gives 0.000 μB/cell.

a = 3.494 Å, b = 3.494 Å, c = 7.278 Å
α = 90.00°, β = 90.00°, γ = 90.00°
Positions (direct):
Sr (0.000, 0.000, 0.000)
As (0.000, 0.000, 0.456)
As (0.500, 0.500, 0.721)
W (0.500, 0.500, 0.364)



Of them, model w has the lowest stability.



Model w:
DFT (PBE) results for a geometry-optimized SrAsW3 structure.

Results
Its density is 10.44 g/cm3. For the size of the total moment, the calculation gives 0.000 μB/cell.

a = 4.842 Å, b = 4.842 Å, c = 4.842 Å
α = 90.00°, β = 90.00°, γ = 90.00°
Positions (direct):
Sr (0.000, 0.000, 0.000)
As (0.500, 0.500, 0.500)
W (0.000, 0.000, 0.500)
W (0.000, 0.500, 0.000)
W (0.500, 0.000, 0.000)



Model x:
DFT (PBE) results for a geometry-optimized SrAsW3 structure.

Results
Its density is 10.91 g/cm3. For the size of the total moment, the calculation gives 0.000 μB/cell.

a = 4.773 Å, b = 4.773 Å, c = 4.773 Å
α = 90.00°, β = 90.00°, γ = 90.00°
Positions (direct):
Sr (0.000, 0.000, 0.000)
As (0.500, 0.500, 0.500)
W (0.000, 0.500, 0.500)
W (0.500, 0.000, 0.500)
W (0.500, 0.500, 0.000)



Of them, model w has the lowest stability.



Model w:
DFT (PBE) results for a geometry-optimized SrAs3W structure.

Results
Its density is 5.63 g/cm3. For the size of the total moment, the calculation gives 0.000 μB/cell.

a = 5.269 Å, b = 5.269 Å, c = 5.269 Å
α = 90.00°, β = 90.00°, γ = 90.00°
Positions (direct):
Sr (0.000, 0.000, 0.000)
As (0.000, 0.000, 0.500)
As (0.000, 0.500, 0.000)
As (0.500, 0.000, 0.000)
W (0.500, 0.500, 0.500)



Model x:
DFT (PBE) results for a geometry-optimized SrAs3W structure.

Results
Its density is 6.68 g/cm3. For the size of the total moment, the calculation gives 0.000 μB/cell.

a = 4.977 Å, b = 4.977 Å, c = 4.977 Å
α = 90.00°, β = 90.00°, γ = 90.00°
Positions (direct):
Sr (0.000, 0.000, 0.000)
As (0.000, 0.500, 0.500)
As (0.500, 0.000, 0.500)
As (0.500, 0.500, 0.000)
W (0.500, 0.500, 0.500)



Of them, model w has the lowest stability.



Model w:
DFT (PBE) results for a geometry-optimized SrYAs2 structure.

Results
Its density is 5.33 g/cm3. For the size of the total moment, the calculation gives 0.000 μB/cell.

a = 3.406 Å, b = 3.863 Å, c = 7.804 Å
α = 90.00°, β = 97.92°, γ = 90.00°
Positions (direct):
Sr (0.000, 0.000, 0.000)
Y (0.000, 0.000, 0.500)
As (0.458, 0.500, 0.731)
As (0.542, 0.500, 0.269)



Model x:
DFT (PBE) results for a geometry-optimized SrYAs2 structure.

Results
Its density is 5.45 g/cm3. For the size of the total moment, the calculation gives 0.000 μB/cell.

a = 3.309 Å, b = 3.848 Å, c = 7.817 Å
α = 90.00°, β = 90.00°, γ = 90.00°
Positions (direct):
Sr (0.000, 0.000, 0.000)
Y (0.000, 0.000, 0.500)
As (0.500, 0.500, 0.270)
As (0.500, 0.500, 0.730)



Model y:
DFT (PBE) results for a geometry-optimized SrYAs2 structure.

Results
Its density is 4.82 g/cm3. For the size of the total moment, the calculation gives 0.000 μB/cell.

a = 7.627 Å, b = 7.627 Å, c = 7.627 Å
α = 32.26°, β = 32.26°, γ = 32.26°
Positions (direct):
Sr (0.000, 0.000, 0.000)
Y (0.500, 0.500, 0.500)
As (0.241, 0.241, 0.241)
As (0.759, 0.759, 0.759)



Model z:
DFT (PBE) results for a geometry-optimized SrYAs2 structure.

Results
Its density is 5.51 g/cm3. For the size of the total moment, the calculation gives 0.000 μB/cell.

a = 5.182 Å, b = 5.182 Å, c = 5.182 Å
α = 60.00°, β = 60.00°, γ = 60.00°
Positions (direct):
Sr (0.000, 0.000, 0.000)
Y (0.750, 0.750, 0.750)
As (0.250, 0.250, 0.250)
As (0.500, 0.500, 0.500)



Of them, model z has the lowest stability.



Model w:
DFT (PBE) results for a geometry-optimized SrYAs2 structure.

Results
Its density is 4.76 g/cm3. For the size of the total moment, the calculation gives 0.000 μB/cell.

a = 7.842 Å, b = 7.842 Å, c = 7.842 Å
α = 31.06°, β = 31.06°, γ = 31.06°
Positions (direct):
Sr (0.000, 0.000, 0.000)
Y (0.173, 0.173, 0.173)
As (0.577, 0.577, 0.577)
As (0.763, 0.763, 0.763)



Model x:
DFT (PBE) results for a geometry-optimized SrYAs2 structure.

Results
Its density is 5.18 g/cm3. For the size of the total moment, the calculation gives 0.000 μB/cell.

a = 6.050 Å, b = 6.050 Å, c = 4.508 Å
α = 94.89°, β = 94.89°, γ = 39.51°
Positions (direct):
Sr (0.000, 0.000, 0.000)
Y (0.745, 0.745, 0.512)
As (0.265, 0.265, 0.031)
As (0.474, 0.474, 0.488)



Model y:
DFT (PBE) results for a geometry-optimized SrYAs2 structure.

Results
Its density is 5.37 g/cm3. For the size of the total moment, the calculation gives 0.000 μB/cell.

a = 5.226 Å, b = 5.226 Å, c = 5.226 Å
α = 60.00°, β = 60.00°, γ = 60.00°
Positions (direct):
Sr (0.000, 0.000, 0.000)
Y (0.500, 0.500, 0.500)
As (0.250, 0.250, 0.250)
As (0.750, 0.750, 0.750)



Of them, model y has the lowest stability.



Model w:
DFT (PBE) results for a geometry-optimized SrYAs2 structure.

Results
Its density is 5.24 g/cm3. For the size of the total moment, the calculation gives 0.000 μB/cell.

a = 5.338 Å, b = 5.338 Å, c = 3.719 Å
α = 98.30°, β = 98.30°, γ = 93.21°
Positions (direct):
Sr (0.000, 0.000, 0.000)
Y (0.500, 0.500, 0.000)
As (0.000, 0.500, 0.500)
As (0.500, 0.000, 0.500)



Model x:
DFT (PBE) results for a geometry-optimized SrYAs2 structure.

Results
Its density is 4.88 g/cm3. For the size of the total moment, the calculation gives 0.000 μB/cell.

a = 4.283 Å, b = 4.283 Å, c = 6.053 Å
α = 90.00°, β = 90.00°, γ = 90.00°
Positions (direct):
Sr (0.000, 0.000, 0.000)
Y (0.500, 0.500, 0.500)
As (0.000, 0.000, 0.500)
As (0.500, 0.500, 0.000)



Of them, model w has the lowest stability.



Model w:
DFT (PBE) results for a geometry-optimized SrZn3As structure.

Results
Its density is 4.63 g/cm3. For the size of the total moment, the calculation gives 0.000 μB/cell.

a = 5.050 Å, b = 5.050 Å, c = 5.050 Å
α = 90.00°, β = 90.00°, γ = 90.00°
Positions (direct):
Sr (0.000, 0.000, 0.000)
Zn (0.000, 0.500, 0.500)
Zn (0.500, 0.000, 0.500)
Zn (0.500, 0.500, 0.000)
As (0.500, 0.500, 0.500)



Model x:
DFT (PBE) results for a geometry-optimized SrZn3As structure.

Results
Its density is 2.89 g/cm3. For the size of the total moment, the calculation gives 1.218 μB/cell.

a = 5.910 Å, b = 5.910 Å, c = 5.910 Å
α = 90.00°, β = 90.00°, γ = 90.00°
Positions (direct):
Sr (0.000, 0.000, 0.000)
Zn (0.000, 0.000, 0.500)
Zn (0.000, 0.500, 0.000)
Zn (0.500, 0.000, 0.000)
As (0.500, 0.500, 0.500)



Of them, model x has the lowest stability.



Model w:
DFT (PBE) results for a geometry-optimized SrZr2As2 structure.

Results
Its density is 5.39 g/cm3. For the size of the total moment, the calculation gives 1.835 μB/cell.

a = 6.069 Å, b = 6.069 Å, c = 6.069 Å
α = 129.63°, β = 129.63°, γ = 74.00°
Positions (direct):
Sr (0.000, 0.000, 0.000)
Zr (0.342, 0.342, 0.000)
Zr (0.658, 0.658, 0.000)
As (0.250, 0.750, 0.500)
As (0.750, 0.250, 0.500)



Model x:
DFT (PBE) results for a geometry-optimized SrZr2As2 structure.

Results
Its density is 6.26 g/cm3. For the size of the total moment, the calculation gives 0.000 μB/cell.

a = 7.833 Å, b = 7.833 Å, c = 3.631 Å
α = 90.00°, β = 90.00°, γ = 90.00°
Positions (direct):
Sr (0.000, 0.000, 0.000)
Sr (0.500, 0.500, 0.000)
Zr (0.144, 0.356, 0.500)
Zr (0.356, 0.856, 0.500)
Zr (0.644, 0.144, 0.500)
Zr (0.856, 0.644, 0.500)
As (0.140, 0.640, 0.000)
As (0.360, 0.140, 0.000)
As (0.640, 0.860, 0.000)
As (0.860, 0.360, 0.000)



Of them, model w has the lowest stability.



Model w:
DFT (PBE) results for a geometry-optimized Ta5As structure.

Results
Its density is 15.23 g/cm3. For the size of the total moment, the calculation gives 0.000 μB/cell.

a = 5.737 Å, b = 5.737 Å, c = 5.956 Å
α = 103.03°, β = 103.03°, γ = 34.09°
Positions (direct):
Ta (0.000, 0.000, 0.000)
Ta (0.333, 0.333, 0.183)
Ta (0.346, 0.346, 0.665)
Ta (0.654, 0.654, 0.335)
Ta (0.667, 0.667, 0.817)
As (0.000, 0.000, 0.500)



Model x:
DFT (PBE) results for a geometry-optimized Ta5As structure.

Results
Its density is 15.33 g/cm3. For the size of the total moment, the calculation gives 0.000 μB/cell.

a = 7.111 Å, b = 7.111 Å, c = 3.457 Å
α = 90.00°, β = 90.00°, γ = 142.60°
Positions (direct):
Ta (0.000, 0.000, 0.000)
Ta (0.164, 0.836, 0.500)
Ta (0.335, 0.665, 0.000)
Ta (0.665, 0.335, 0.000)
Ta (0.836, 0.164, 0.500)
As (0.500, 0.500, 0.500)



Model y:
DFT (PBE) results for a geometry-optimized Ta5As structure.

Results
Its density is 14.28 g/cm3. For the size of the total moment, the calculation gives 0.000 μB/cell.

a = 5.441 Å, b = 5.441 Å, c = 5.441 Å
α = 60.00°, β = 60.00°, γ = 60.00°
Positions (direct):
Ta (0.000, 0.000, 0.000)
Ta (0.123, 0.626, 0.626)
Ta (0.626, 0.123, 0.626)
Ta (0.626, 0.626, 0.123)
Ta (0.626, 0.626, 0.626)
As (0.250, 0.250, 0.250)



Model z:
DFT (PBE) results for a geometry-optimized Ta5As structure.

Results
Its density is 14.95 g/cm3. For the size of the total moment, the calculation gives 0.000 μB/cell.

a = 2.861 Å, b = 2.861 Å, c = 13.298 Å
α = 90.00°, β = 90.00°, γ = 90.00°
Positions (direct):
Ta (0.000, 0.000, 0.000)
Ta (0.000, 0.000, 0.349)
Ta (0.000, 0.000, 0.651)
Ta (0.500, 0.500, 0.175)
Ta (0.500, 0.500, 0.825)
As (0.500, 0.500, 0.500)



Of them, model y has the lowest stability.